Record 1
K2SrP (SCAN, PBEsol geometry); ΔE_f = -0.1129 eV per atom; density of states at the Fermi level = 2.75 states/eV/cell; magnetization = 0.0 Bohr magnetons per cell
1.0
-2.6053 -0.0735 -4.9796
4.1551 -3.6907 1.0524
-4.9523 -0.5548 2.5992
P K Sr
1 2 1
Cartesian
-3.7788 -0.3141 -1.1902
-1.1145 -2.0391 -2.5587
0.0000 0.0000 0.0000
-2.2880 -2.2798 1.2307

---

Record 2
ScCoSe2 (SCAN, PBEsol geometry); density of states at the Fermi level = 4.93 states/eV/cell; energy above the lowest structure with this stoichiometry = 0.542 eV/atom; magnetization = 2.0 Bohr magnetons per cell
1.0
4.5303 0.0000 0.0000
2.2651 3.9233 0.0000
2.2651 1.3078 3.6989
Sc Co Se
1 1 2
Cartesian
0.0000 0.0000 0.0000
4.5303 2.6155 1.8495
2.2651 1.3078 0.9247
6.7954 3.9233 2.7742

---

Record 3
MnCdIr2 (SCAN, PBEsol geometry); ΔE_f = -0.1376 eV per atom; density of states at the Fermi level = 2.21 states/eV/cell; magnetization = 2.6 Bohr magnetons per cell
1.0
-0.0854 2.2149 -1.6172
-2.6820 -0.4053 -0.4135
-1.5845 4.3384 6.0256
Ir Cd Mn
2 1 1
Cartesian
-0.3402 0.9314 1.2936
-1.2444 3.4070 4.7320
-2.1760 3.0740 1.9974
-1.3837 0.9048 -1.0153

---

Record 4
SnHgSe2N (SCAN, PBEsol geometry); density of states at the Fermi level = 1.57 states/eV/cell; electronic total energy = -29.808 eV per atom; magnetization = 2.0 Bohr magnetons per cell
1.0
-3.3403 2.0176 1.2209
-0.6200 -3.4519 4.0084
3.0086 3.0894 3.1258
Se Sn Hg N
2 1 1 1
Cartesian
1.5043 1.5447 1.5629
-0.3100 -1.7259 2.0042
-0.4758 0.8276 4.1775
0.0000 0.0000 0.0000
-1.6701 1.0088 0.6104

---

Record 5
BaIr2Os (SCAN, PBEsol geometry); ΔE_f = -0.0012 eV per atom; density of states at the Fermi level = 2.90 states/eV/cell; energy above the lowest structure with this stoichiometry = 0.000 eV/atom; magnetization = 0.0 Bohr magnetons per cell
1.0
4.4196 0.0000 0.0000
2.2098 3.8275 0.0000
2.2098 1.2758 5.6779
Ir Os Ba
2 1 1
Cartesian
6.6294 3.8275 3.0907
2.2098 1.2758 2.5872
4.4196 2.5516 2.8389
0.0000 0.0000 0.0000

---

Record 6
CsLuS2 (SCAN, PBEsol geometry); density of states at the Fermi level = 0.00 states/eV/cell; energy above the lowest structure with this stoichiometry = 0.000 eV/atom; magnetization = 0.0 Bohr magnetons per cell
1.0
-2.1924 2.9549 1.4266
-1.5941 -2.6177 -2.4858
-4.2257 -9.0392 12.2289
S Lu Cs
4 2 2
Cartesian
-3.7240 -2.6056 5.1321
-5.6374 -8.9828 9.9424
-4.2882 -6.0965 6.0376
-2.3747 0.2807 1.2273
-2.1128 -4.5196 6.1145
0.0000 0.0000 0.0000
-2.8500 -3.0200 1.8756
-5.1622 -5.6821 9.2942

---

Record 7
SrCo6O11 (SCAN, PBEsol geometry); density of states at the Fermi level = 16.03 states/eV/cell; electronic total energy = -12.427 eV per atom; magnetization = 0.0 Bohr magnetons per cell
1.0
-4.3485 3.4102 -0.4801
-0.5095 -4.7686 2.7876
3.3198 5.6888 10.3383
Co O Sr
12 22 2
Cartesian
-0.7691 2.1652 6.3229
-2.2389 2.1061 3.1937
0.7007 2.2243 9.4521
-0.2547 -2.3843 1.3938
0.4817 0.8254 1.5000
-0.5144 4.5495 4.9291
2.8381 4.8634 8.8383
-2.1743 1.7051 -0.2401
1.4052 0.4601 6.5630
1.1782 2.0190 3.6692
-2.4290 -0.6792 1.1537
2.1416 3.6698 6.6692
-1.6875 3.0510 4.9109
1.4431 5.5869 9.8210
1.7047 3.3703 8.4991
-0.8692 4.9403 10.9193
-2.9569 3.6359 2.5825
0.1493 1.2794 7.7349
-3.2428 0.9601 4.1467
-2.9812 -1.2565 2.8248
-1.8586 0.6673 6.3209
-0.5169 1.7224 2.8519
0.4537 1.3139 5.2226
-1.9919 3.0165 7.4232
-0.9114 -2.8797 3.0533
-0.6268 7.2101 9.5925
-2.7903 1.1612 1.4765
-1.0213 2.6081 9.7939
1.2521 3.1692 11.1693
1.4188 0.6945 10.0633
0.2112 -0.9559 6.5494
-0.6689 -0.6099 1.7265
-1.7494 5.2863 6.0964
0.3204 3.6631 6.3249
-0.5790 4.9505 8.3629
-0.9592 -0.6201 4.2829

---

Record 8
NaBiMo2O8 (SCAN, PBEsol geometry); density of states at the Fermi level = 0.00 states/eV/cell; electronic total energy = -18.894 eV per atom; magnetization = 0.0 Bohr magnetons per cell
1.0
5.2392 0.0000 0.0000
0.0000 5.2392 0.0000
-2.6196 -2.6196 5.6920
Mo O Bi Na
2 8 1 1
Cartesian
2.6196 0.0000 2.8460
0.0000 0.0000 0.0000
1.3561 -1.8035 4.7459
-1.3561 1.8035 4.7459
0.8161 1.2635 0.9461
1.3677 0.7730 3.8405
-1.3677 -0.7730 3.8405
1.8466 3.9873 1.8515
3.3927 1.2520 1.8515
4.4231 3.9757 0.9461
2.6196 2.6196 0.0000
0.0000 2.6196 2.8460

---

Record 9
MgGeI2O (SCAN, PBEsol geometry); density of states at the Fermi level = 1.46 states/eV/cell; electronic total energy = -21.104 eV per atom; magnetization = 0.0 Bohr magnetons per cell
1.0
3.7699 0.0000 0.0000
0.0000 5.7760 0.0000
0.0000 0.0000 5.7760
Mg Ge I O
1 1 2 1
Cartesian
1.8849 2.8880 2.8880
0.0000 0.0000 0.0000
0.0000 0.0000 2.8880
0.0000 2.8880 0.0000
1.8849 0.0000 0.0000

---

Record 10
RePt2Pb (SCAN, PBEsol geometry); ΔE_f = 0.1686 eV per atom; density of states at the Fermi level = 2.85 states/eV/cell; magnetization = 0.0 Bohr magnetons per cell
1.0
2.8612 0.0000 0.0000
0.0000 2.8612 0.0000
0.0000 0.0000 8.5784
Re Pb Pt
1 1 2
Cartesian
1.4306 1.4306 0.0000
1.4306 1.4306 4.2892
0.0000 0.0000 1.7803
0.0000 0.0000 6.7981

---

Record 11
La4AsRh (SCAN, PBEsol geometry); ΔE_f = 0.2933 eV per atom; density of states at the Fermi level = 7.81 states/eV/cell; magnetization = 0.0 Bohr magnetons per cell
1.0
-2.2841 3.3465 -4.5259
-2.3610 -2.7164 -4.8935
-5.9982 0.1337 -0.9505
As La Rh
1 4 1
Cartesian
0.0000 0.0000 0.0000
-5.1712 -1.0767 -6.3394
-3.9868 0.2861 -3.8844
-6.9959 0.3531 -4.3613
-5.1326 1.9649 -6.1549
-7.9824 0.5728 -7.7775

---

Record 12
LiSiAuCl2 (SCAN, PBEsol geometry); density of states at the Fermi level = 1.45 states/eV/cell; electronic total energy = -19.416 eV per atom; magnetization = 0.0 Bohr magnetons per cell
1.0
4.5699 0.0000 0.0000
0.0000 4.5699 0.0000
0.0000 0.0000 6.8417
Cl Li Si Au
2 1 1 1
Cartesian
2.2849 0.0000 0.0000
0.0000 2.2849 0.0000
0.0000 0.0000 3.4208
0.0000 0.0000 0.0000
2.2849 2.2849 3.4208

---

Record 13
KTl2Cl (SCAN, PBEsol geometry); density of states at the Fermi level = 1.27 states/eV/cell; energy above the lowest structure with this stoichiometry = 0.019 eV/atom; magnetization = 0.0 Bohr magnetons per cell
1.0
-0.1248 3.8649 -1.9689
-4.2411 0.3043 0.8661
3.6000 0.9525 6.4229
Tl Cl K
2 1 1
Cartesian
-1.4120 1.6706 3.3688
0.6461 3.4509 1.9513
-2.1830 2.0846 -0.5514
0.0000 0.0000 0.0000

---

Record 14
Re2TeW (SCAN, PBEsol geometry); density of states at the Fermi level = 2.16 states/eV/cell; electronic total energy = -61.659 eV per atom; magnetization = 0.0 Bohr magnetons per cell
1.0
2.9357 0.0000 0.0000
1.4678 2.5424 0.0000
1.4678 0.8475 8.7925
Re Te W
2 1 1
Cartesian
4.4035 2.5424 6.6928
1.4678 0.8475 8.7549
2.9357 1.6949 4.4082
1.4678 0.8475 2.1255

---

Record 15
Cs3GaPb (SCAN, PBEsol geometry); ΔE_f = 0.3259 eV per atom; density of states at the Fermi level = 4.05 states/eV/cell; magnetization = 2.3 Bohr magnetons per cell
1.0
-6.4534 -0.5950 -1.7958
1.8545 -3.2515 -5.5870
-0.3740 -5.8566 3.2842
Cs Pb Ga
3 1 1
Cartesian
-3.2267 -0.2975 -0.8979
-0.1870 -2.9283 1.6421
0.9272 -1.6257 -2.7935
-2.4865 -4.8515 -2.0493
0.0000 0.0000 0.0000

---

Record 16
Sc2PCl (SCAN, PBEsol geometry); density of states at the Fermi level = 1.82 states/eV/cell; electronic total energy = -13.226 eV per atom; magnetization = 0.0 Bohr magnetons per cell
1.0
-1.4512 -1.4137 -3.0732
3.1799 -1.7108 -0.7146
-1.6297 -4.1476 2.6775
Cl P Sc
1 1 2
Cartesian
0.6451 -1.1660 -1.4135
0.6950 -4.8027 -1.9696
-0.1693 -3.2406 -0.0758
1.5095 -2.7284 -3.3077

---

Record 17
Tl2ReW (SCAN, PBEsol geometry); ΔE_f = 1.2445 eV per atom; density of states at the Fermi level = 2.87 states/eV/cell; magnetization = 0.6 Bohr magnetons per cell
1.0
-2.0531 0.2582 -2.1869
-2.5168 -3.6459 1.9323
-2.5670 3.3040 2.8906
Tl W Re
2 1 1
Cartesian
-3.4898 2.6719 0.4961
-1.1304 0.8903 0.2076
-2.2849 -1.6938 -0.1273
-2.5419 -0.1710 2.4114

---

Record 18
HfMg2BeFe (SCAN, PBEsol geometry); ΔE_f = 0.7718 eV per atom; density of states at the Fermi level = 2.76 states/eV/cell; magnetization = 1.1 Bohr magnetons per cell
1.0
-3.1755 1.9444 2.4881
-2.4628 -4.0498 0.0217
2.2594 -1.3529 3.9410
Be Mg Hf Fe
1 2 1 1
Cartesian
-1.6894 -1.7291 3.2254
-1.2314 -2.0249 0.0109
1.1297 -0.6764 1.9705
-1.5877 0.9722 1.2440
0.0000 0.0000 0.0000

---

Record 19
ScIn2Tc (SCAN, PBEsol geometry); ΔE_f = -0.1593 eV per atom; density of states at the Fermi level = 2.32 states/eV/cell; energy above the lowest structure with this stoichiometry = 0.000 eV/atom; magnetization = 0.7 Bohr magnetons per cell
1.0
4.0918 0.0000 0.0000
0.0000 4.1096 0.0000
0.0000 0.0000 4.3903
In Sc Tc
2 1 1
Cartesian
2.0459 2.0548 0.0000
0.0000 0.0000 0.0000
2.0459 0.0000 2.1952
0.0000 2.0548 2.1952

---

Record 20
Mn7SiO12 (SCAN, PBEsol geometry); density of states at the Fermi level = 3.13 states/eV/cell; electronic total energy = -12.947 eV per atom; magnetization = 116.0 Bohr magnetons per cell
1.0
-1.0347 6.7233 6.5268
-6.8644 3.9259 -5.1322
-2.3467 -10.5720 3.7100
O Mn Si
48 28 4
Cartesian
-2.7640 4.3380 3.8897
-7.6827 -4.3574 0.8128
-4.8446 -2.3981 7.1675
-2.1363 0.2860 5.1213
-5.2113 -0.0722 0.3019
-3.2009 1.5221 -0.0871
-6.7569 2.8315 0.8371
-4.7127 -0.2843 4.7458
-7.7225 7.1569 0.1950
-5.2489 -4.2252 5.1284
-6.7725 -1.8122 5.1435
-7.9635 -2.4705 2.6255
-4.1067 -7.2548 2.4717
-6.5652 -2.2906 -0.2894
-7.6311 5.1051 2.3279
-1.4533 -3.2675 1.1522
-8.8625 1.8869 2.1166
-6.8482 4.8832 -1.2959
-5.4786 5.7765 1.0430
-3.1892 -2.6973 4.7307
-3.9179 2.2538 4.9191
-4.8203 -3.9779 0.8758
-6.6726 -0.1854 -1.9205
-7.0669 2.0695 4.8991
-1.2035 -1.6367 3.4834
-3.1087 -0.5346 2.0411
-2.8947 -6.5790 4.9751
-3.6970 3.8086 1.2452
-5.7042 4.0156 3.7508
-3.8948 0.6962 7.0818
-4.8509 1.7244 2.2746
-6.7652 0.2001 3.0718
-2.9133 -4.5813 2.9144
-7.8720 -0.0949 0.4580
-4.5062 6.5970 4.1232
-2.3618 -8.9421 3.6369
-1.9108 2.0469 2.4135
-9.1433 3.7737 3.9292
-8.9540 -0.4887 4.2840
-6.0669 -5.2057 2.7924
-3.3794 -2.1829 -0.2754
-6.4114 7.6992 2.6809
-2.4036 6.1347 5.8624
-5.1270 2.6067 -1.5147
-3.1965 -4.7096 6.8024
-5.1171 -2.1114 2.7068
-6.0136 -6.6514 0.4331
-6.7720 3.4505 -3.5742
-7.0976 2.7009 2.9009
-1.3310 -5.0734 1.8828
-1.8584 2.7181 0.5814
-3.4322 1.9629 -2.5661
-3.2901 -0.3304 -0.1812
-3.8075 3.0312 3.0822
-3.1481 -2.6237 2.2036
-7.2397 4.9942 0.5160
-6.0430 5.8427 3.2358
-6.3989 -3.2095 1.7744
-5.2493 4.4126 -2.2453
-6.9163 0.1521 5.0378
-7.8957 -3.6534 -0.8924
-3.0454 -4.6616 4.8365
-5.7566 3.3444 5.5829
-2.6109 3.8798 5.8019
-1.5719 0.2198 2.9285
-0.5173 3.3616 3.2634
-5.0041 2.1827 0.3624
-2.6498 6.2365 3.6399
-8.4387 2.0573 0.2189
-4.9652 -0.1740 2.5244
-8.4130 -0.2918 2.3710
-4.4635 -5.6164 1.6737
-3.5627 -1.2999 8.0999
-6.0407 7.9310 0.8132
-6.7223 1.6325 -2.7473
-4.9808 -2.2547 4.9371
-6.5803 -0.6608 -0.3625
0.0000 0.0000 0.0000
-3.6654 0.7379 5.4670
-3.9495 5.3246 0.6973